No. 1
# PBE LiZnO2, optimized geometry
data_LiZnO2
_chemical_formula_sum 'Li3 Zn3 O6'
_symmetry_space_group_name_H-M 'R 3 m'
_symmetry_Int_Tables_number 160
_symmetry_space_group_name_Hall 'R 3 -2"'
_cell_length_a 2.9934
_cell_length_b 2.9934
_cell_length_c 15.0410
_cell_angle_alpha 90.00
_cell_angle_beta 90.00
_cell_angle_gamma 120.00
loop_
_atom_site_label
_atom_site_type_symbol
_atom_site_fract_x
_atom_site_fract_y
_atom_site_fract_z
Li1 Li 0.0000 0.0000 0.0000
Zn1 Zn 0.0000 0.0000 0.8263
O1 O 0.0000 0.0000 0.2375
O2 O 0.0000 0.0000 0.4160
# E in eV/atom: -4.51
# Uncorrected formation energy in eV per atom: -1.229
# Total magnetic moment in μB/f.u.: 1.0

No. 2
# PBE LiZnO2, optimized geometry
data_LiZnO2
_chemical_formula_sum 'Li3 Zn3 O6'
_symmetry_space_group_name_H-M 'R -3 m'
_symmetry_Int_Tables_number 166
_symmetry_space_group_name_Hall '-R 3 2"'
_cell_length_a 3.0307
_cell_length_b 3.0307
_cell_length_c 17.0297
_cell_angle_alpha 90.00
_cell_angle_beta 90.00
_cell_angle_gamma 120.00
loop_
_atom_site_label
_atom_site_type_symbol
_atom_site_fract_x
_atom_site_fract_y
_atom_site_fract_z
Li1 Li 0.0000 0.0000 0.0000
Zn1 Zn 0.0000 0.0000 0.5000
O1 O 0.0000 0.0000 0.1036
# E in eV/atom: -4.34
# Uncorrected formation energy in eV per atom: -1.062
# Total magnetic moment in μB/f.u.: 1.0

No. 3
# PBE Li2Zn2O3, optimized geometry
data_Li2Zn2O3
_chemical_formula_sum 'Li4 Zn4 O6'
_symmetry_space_group_name_H-M 'C 1 2/m 1'
_symmetry_Int_Tables_number 12
_cell_length_a 10.1655
_cell_length_b 3.1018
_cell_length_c 5.2529
_cell_angle_alpha 90.00
_cell_angle_beta 108.19
_cell_angle_gamma 90.00
loop_
_symmetry_equiv_pos_as_xyz
'x,y,z'
'-x,-y,-z'
'-x,y,-z'
'x,-y,z'
'x+1/2,y+1/2,z'
'-x+1/2,-y+1/2,-z'
'-x+1/2,y+1/2,-z'
'x+1/2,-y+1/2,z'
loop_
_atom_site_label
_atom_site_type_symbol
_atom_site_fract_x
_atom_site_fract_y
_atom_site_fract_z
Li1 Li 0.1251 0.0000 0.3870
Zn1 Zn 0.1541 0.5000 0.8192
O1 O 0.0000 0.5000 0.5000
O2 O 0.2167 0.5000 0.2179
# E in eV/atom: -4.54
# Relative energy among the computed polymorphs in kcal/mol of atoms: 0.00
# Uncorrected formation energy in eV per atom: -1.501
# Total magnetic moment in μB/f.u.: 0.0

No. 4
# PBE LiZn2O, optimized geometry
data_LiZn2O
_chemical_formula_sum 'Li4 Zn8 O4'
_symmetry_space_group_name_H-M 'I -4 2 d'
_symmetry_Int_Tables_number 122
_symmetry_space_group_name_Hall 'I -4 2bw'
_cell_length_a 7.3820
_cell_length_b 7.3820
_cell_length_c 3.9796
_cell_angle_alpha 90.00
_cell_angle_beta 90.00
_cell_angle_gamma 90.00
loop_
_atom_site_label
_atom_site_type_symbol
_atom_site_fract_x
_atom_site_fract_y
_atom_site_fract_z
Li1 Li 0.0000 0.0000 0.0000
Zn1 Zn 0.1489 0.7500 0.6250
O1 O 0.0000 0.0000 0.5000
# E in eV/atom: -3.03
# Uncorrected formation energy in eV per atom: -0.676
# Total magnetic moment in μB/f.u.: 0.0

No. 5
# PBE LiZnO2, optimized geometry
data_LiZnO2
_chemical_formula_sum 'Li4 Zn4 O8'
_symmetry_space_group_name_H-M 'I 41/a m d'
_symmetry_Int_Tables_number 141
_cell_length_a 4.1911
_cell_length_b 4.1911
_cell_length_c 8.5719
_cell_angle_alpha 90.00
_cell_angle_beta 90.00
_cell_angle_gamma 90.00
loop_
_symmetry_equiv_pos_as_xyz
'x,y,z'
'-x,-y,-z'
'-y+1/4,x+3/4,z+1/4'
'y+1/4,-x+3/4,-z+1/4'
'-x+1/2,-y,z+1/2'
'x+1/2,y,-z+1/2'
'y+1/4,-x+1/4,z+3/4'
'-y+1/4,x+1/4,-z+3/4'
'x,-y,-z'
'-x,y,z'
'-y+1/4,-x+1/4,-z+3/4'
'y+1/4,x+1/4,z+3/4'
'-x+1/2,y,-z+1/2'
'x+1/2,-y,z+1/2'
'y+1/4,x+3/4,-z+1/4'
'-y+1/4,-x+3/4,z+1/4'
'x+1/2,y+1/2,z+1/2'
'-x+1/2,-y+1/2,-z+1/2'
'-y+3/4,x+1/4,z+3/4'
'y+3/4,-x+1/4,-z+3/4'
'-x,-y+1/2,z'
'x,y+1/2,-z'
'y+3/4,-x+3/4,z+1/4'
'-y+3/4,x+3/4,-z+1/4'
'x+1/2,-y+1/2,-z+1/2'
'-x+1/2,y+1/2,z+1/2'
'-y+3/4,-x+3/4,-z+1/4'
'y+3/4,x+3/4,z+1/4'
'-x,y+1/2,-z'
'x,-y+1/2,z'
'y+3/4,x+1/4,-z+3/4'
'-y+3/4,-x+1/4,z+3/4'
loop_
_atom_site_label
_atom_site_type_symbol
_atom_site_fract_x
_atom_site_fract_y
_atom_site_fract_z
Li1 Li 0.0000 0.2500 0.3750
Zn1 Zn 0.0000 0.2500 0.8750
O1 O 0.0000 0.2500 0.1075
# E in eV/atom: -4.56
# Uncorrected formation energy in eV per atom: -1.286
# Total magnetic moment in μB/f.u.: 1.0

No. 6
# PBE Li2Zn2O3, optimized geometry
data_Li2Zn2O3
_chemical_formula_sum 'Li4 Zn4 O6'
_symmetry_space_group_name_H-M 'P 1 21/c 1'
_symmetry_Int_Tables_number 14
_cell_length_a 5.2141
_cell_length_b 5.9728
_cell_length_c 5.2448
_cell_angle_alpha 90.00
_cell_angle_beta 99.38
_cell_angle_gamma 90.00
loop_
_symmetry_equiv_pos_as_xyz
'x,y,z'
'-x,-y,-z'
'-x,y+1/2,-z+1/2'
'x,-y+1/2,z+1/2'
loop_
_atom_site_label
_atom_site_type_symbol
_atom_site_fract_x
_atom_site_fract_y
_atom_site_fract_z
Li1 Li 0.2167 0.1204 0.1554
Zn1 Zn 0.1980 0.6292 0.1014
O1 O 0.0164 0.1341 0.7724
O2 O 0.5000 0.0000 0.5000
# E in eV/atom: -4.46
# Relative energy among the computed polymorphs in kcal/mol of atoms: 1.70
# Uncorrected formation energy in eV per atom: -1.427
# Total magnetic moment in μB/f.u.: 0.0

No. 7
# PBE LiZnO2, optimized geometry
data_LiZnO2
_chemical_formula_sum 'Li3 Zn3 O6'
_symmetry_space_group_name_H-M 'R -3 m'
_symmetry_Int_Tables_number 166
_symmetry_space_group_name_Hall '-R 3 2"'
_cell_length_a 2.9733
_cell_length_b 2.9733
_cell_length_c 17.5000
_cell_angle_alpha 90.00
_cell_angle_beta 90.00
_cell_angle_gamma 120.00
loop_
_atom_site_label
_atom_site_type_symbol
_atom_site_fract_x
_atom_site_fract_y
_atom_site_fract_z
Li1 Li 0.0000 0.0000 0.0000
Zn1 Zn 0.0000 0.0000 0.5000
O1 O 0.0000 0.0000 0.3999
# E in eV/atom: -4.16
# Uncorrected formation energy in eV per atom: -0.881
# Total magnetic moment in μB/f.u.: 1.0

No. 8
# PBE LiZn3O4, optimized geometry
data_LiZn3O4
_chemical_formula_sum 'Li2 Zn6 O8'
_symmetry_space_group_name_H-M 'P m n 21'
_symmetry_Int_Tables_number 31
_cell_length_a 6.4765
_cell_length_b 5.6098
_cell_length_c 5.2475
_cell_angle_alpha 90.00
_cell_angle_beta 90.00
_cell_angle_gamma 90.00
loop_
_symmetry_equiv_pos_as_xyz
'x,y,z'
'-x+1/2,-y,z+1/2'
'-x,y,z'
'x+1/2,-y,z+1/2'
loop_
_atom_site_label
_atom_site_type_symbol
_atom_site_fract_x
_atom_site_fract_y
_atom_site_fract_z
Li1 Li 0.0000 0.1671 0.0000
Zn1 Zn 0.0000 0.8348 0.4982
Zn2 Zn 0.2496 0.3331 0.4982
O1 O 0.0000 0.1660 0.6174
O2 O 0.0000 0.8282 0.1223
O3 O 0.2465 0.6648 0.6222
# E in eV/atom: -4.56
# Uncorrected formation energy in eV per atom: -1.365
# Total magnetic moment in μB/f.u.: 0.0